No. 1
DFT (SCAN) results for LiRhPb at its PBEsol-relaxed geometry.

a b c (Å): 3.015 4.368 4.368
angles (deg): 120.00 90.00 90.00
Atoms (fractional coordinates):
Pb (0.669, 0.333, 0.667)
Li (0.032, 0.000, 0.000)
Rh (0.299, 0.667, 0.333)

No. 2
DFT (SCAN) results for LiRhPb at its PBEsol-relaxed geometry.

a b c (Å): 3.356 3.356 4.958
angles (deg): 109.78 109.78 90.00
Last column: magnetic moment on the atom in μB.
Atoms (fractional coordinates):
Pb (0.332, 0.332, 0.663)  0.00
Li (0.011, 0.011, 0.022)  0.00
Rh (0.658, 0.658, 0.315)  0.29

No. 3
DFT (SCAN) results for LiRhPb2 at its PBEsol-relaxed geometry.

a b c (Å): 3.586 4.502 4.815
angles (deg): 90.00 90.00 90.00
Atoms (fractional coordinates):
Rh (0.500, 0.500, 0.000)
Li (0.500, 0.000, 0.500)
Pb (0.000, 0.000, 0.000)
Pb (0.000, 0.500, 0.500)

No. 4
DFT (SCAN) results for LiRhPb2 at its PBEsol-relaxed geometry.

a b c (Å): 3.422 3.422 6.865
angles (deg): 90.00 90.11 90.00
Atoms (fractional coordinates):
Pb (0.001, 0.000, 0.230)
Pb (0.999, 0.000, 0.770)
Li (0.500, 0.500, 0.500)
Rh (0.500, 0.500, 0.000)

| no. | energy of formation from the pure elements (eV per atom) | E (hartree per atom) |
| --- | --- | --- |
| 1 | -0.153 | -1.3769 |
| 2 | -0.240 | -1.3801 |
| 3 | -0.060 | -1.7269 |
| 4 | -0.149 | -1.7301 |